[1]
The following is a PBE-GGA calculation of KNaPdAu after structural relaxation, from the Alexandria database.

Calculated values
- SG = No. 216
- formation energy (eV per formula unit) = -0.20
- VASP energy (eV per atom) = -2.77

abc: 5.0215 5.0215 5.0215
angles: 60.00 60.00 60.00
Last column: nearest neighbours and their distance in Å.
Positions (direct):
Pd  0.7500  0.7500  0.7500  4 Au 3.08, 4 K 3.08
K  0.5000  0.5000  0.5000  4 Na 3.08, 4 Pd 3.08
Na  0.2500  0.2500  0.2500  4 Au 3.08, 4 K 3.08
Au  0.0000  0.0000  0.0000  4 Na 3.08, 4 Pd 3.08

---

[2]
The following is a PBE-GGA calculation of KNa2PtAu after structural relaxation, from the Alexandria database.

Calculated values
- SG = No. 123
- formation energy (eV per formula unit) = -0.48
- VASP energy (eV per atom) = -2.71

abc: 5.4099 5.4099 5.2640
angles: 90.00 90.00 90.00
Last column: nearest neighbours and their distance in Å.
Positions (direct):
Na  0.5000  0.0000  0.0000  2 Pt 2.70
Pt  0.0000  0.0000  0.0000  2 Au 2.63, 4 Na 2.70
K  0.5000  0.5000  0.5000  8 Na 3.77, 4 Au 3.83
Au  0.0000  0.0000  0.5000  2 Pt 2.63
Na  0.0000  0.5000  0.0000  2 Pt 2.70

---

[3]
The following is a PBE-GGA calculation of K2RbNaAu after structural relaxation, from the Alexandria database.

Calculated values
- SG = No. 123
- formation energy (eV per formula unit) = -0.45
- VASP energy (eV per atom) = -1.64
- excess energy over the best structure of this formula in the dataset (eV per atom) = 0.017

abc: 6.5141 6.5141 6.7663
angles: 90.00 90.00 90.00
Last column: nearest neighbours and their distance in Å.
Positions (direct):
Rb  0.0000  0.0000  0.5000  2 Au 3.38
Au  0.0000  0.0000  0.0000  4 K 3.26, 2 Rb 3.38
K  0.5000  0.0000  0.0000  2 Au 3.26
K  0.0000  0.5000  0.0000  2 Au 3.26
Na  0.5000  0.5000  0.5000  4 Rb 4.61, 8 K 4.70

---

[4]
The following is a PBE-GGA calculation of K4Rb2Na2Au after structural relaxation, from the Alexandria database.

Calculated values
- SG = No. 12
- formation energy (eV per formula unit) = -0.47
- VASP energy (eV per atom) = -1.41

abc: 7.4646 8.9362 8.9362
angles: 62.73 94.23 94.23
Last column: nearest neighbours and their distance in Å.
Positions (direct):
Au  0.5000  0.0000  0.0000  2 Na 3.01, 4 K 3.29
Rb  0.2858  0.6676  0.6676  3 Na 4.28-4.67, 8 K 4.35-4.62
Rb  0.7142  0.3324  0.3324  3 Na 4.28-4.67, 8 K 4.35-4.62
K  0.7725  0.8487  0.3375  1 Au 3.29
K  0.2275  0.1513  0.6625  1 Au 3.29
K  0.2275  0.6625  0.1513  1 Au 3.29
Na  0.7473  0.8544  0.8544  1 Au 3.01
K  0.7725  0.3375  0.8487  1 Au 3.29
Na  0.2527  0.1456  0.1456  1 Au 3.01

---

[5]
The following is a PBE-GGA calculation of K5Rb2NaAu after structural relaxation, from the Alexandria database.

Calculated values
- SG = No. 107
- formation energy (eV per formula unit) = -0.47
- VASP energy (eV per atom) = -1.39

abc: 9.2742 9.2742 9.2742
angles: 89.96 120.03 120.03
Last column: nearest neighbours and their distance in Å.
Positions (direct):
K  0.5057  0.2558  0.2558  1 Au 3.33
Rb  0.5000  0.2558  0.7558  10 K 4.61-4.66, 2 Na 4.64
Rb  0.5000  0.7558  0.2558  10 K 4.61-4.66, 2 Na 4.64
Na  0.0000  0.7530  0.7530  1 Au 3.02
K  0.0000  0.2406  0.2406  1 Au 3.38
Au  0.0000  0.9830  0.9830  1 Na 3.02, 5 K 3.33-3.38
K  0.0000  0.7502  0.2558  1 Au 3.33
K  0.0000  0.2558  0.7502  1 Au 3.33
K  0.4943  0.7502  0.7502  1 Au 3.33

---

[6]
The following is a PBE-GGA calculation of K12Rb2NaAu3 after structural relaxation, from the Alexandria database.

Calculated values
- SG = No. 166
- formation energy (eV per formula unit) = -1.35
- VASP energy (eV per atom) = -1.53

abc: 11.3026 11.3026 11.3026
angles: 65.96 65.96 65.96
Last column: nearest neighbours and their distance in Å.
Positions (direct):
K  0.2678  0.2678  0.8907  2 Au 3.27
Au  0.0000  0.5000  0.0000  6 K 3.27-3.30
K  0.7322  0.7322  0.1093  2 Au 3.27
K  0.2678  0.8907  0.2678  2 Au 3.27
K  0.8462  0.8462  0.4405  1 Au 3.30
Rb  0.4176  0.4176  0.4176  1 Rb 4.34, 6 K 4.45-4.68
K  0.8462  0.4405  0.8462  1 Au 3.30
Au  0.0000  0.0000  0.5000  6 K 3.27-3.30
K  0.5595  0.1538  0.1538  1 Au 3.30
K  0.7322  0.1093  0.7322  2 Au 3.27
Na  0.0000  0.0000  0.0000  12 K 4.38-4.61
K  0.4405  0.8462  0.8462  1 Au 3.30
K  0.1538  0.1538  0.5595  1 Au 3.30
Au  0.5000  0.0000  0.0000  6 K 3.27-3.30
K  0.1538  0.5595  0.1538  1 Au 3.30
K  0.1093  0.7322  0.7322  2 Au 3.27
Rb  0.5824  0.5824  0.5824  1 Rb 4.34, 6 K 4.45-4.68
K  0.8907  0.2678  0.2678  2 Au 3.27

---

[7]
The following is a PBE-GGA calculation of KRbNa2Au2 after structural relaxation, from the Alexandria database.

Calculated values
- SG = No. 164
- formation energy (eV per formula unit) = -1.14
- VASP energy (eV per atom) = -2.07

abc: 5.3480 5.3480 8.2129
angles: 90.00 90.00 120.00
Last column: nearest neighbours and their distance in Å.
Positions (direct):
Na  0.6667  0.3333  0.3111  4 Au 3.09-3.25, 3 K 3.46
Na  0.3333  0.6667  0.6889  4 Au 3.09-3.25, 3 K 3.46
Rb  0.0000  0.0000  0.0000  6 Au 3.92, 6 Na 4.01, 2 K 4.11
Au  0.6667  0.3333  0.7066  4 Na 3.09-3.25
Au  0.3333  0.6667  0.2934  4 Na 3.09-3.25
K  0.0000  0.0000  0.5000  6 Na 3.46, 6 Au 3.52

---

[8]
The following is a PBE-GGA calculation of K2Rb2NaAu after structural relaxation, from the Alexandria database.

Calculated values
- SG = No. 72
- formation energy (eV per formula unit) = -0.31
- VASP energy (eV per atom) = -1.51

abc: 8.5735 9.2191 10.8014
angles: 115.26 113.38 90.00
Last column: nearest neighbours and their distance in Å.
Positions (direct):
Rb  0.6430  0.8638  0.2860  2 Au 3.88, 2 K 4.04-4.28, 2 Na 4.19
Na  0.2500  0.0000  0.0000  4 K 3.86, 4 Rb 4.19, 2 Na 4.29
K  0.3992  0.6088  0.7984  2 Au 3.38
Rb  0.3570  0.1362  0.7140  2 Au 3.88, 2 K 4.04-4.28, 2 Na 4.19
K  0.1008  0.8103  0.2016  2 Au 3.38
Au  0.7500  0.5000  0.0000  4 K 3.38
Au  0.2500  0.5000  0.0000  4 K 3.38
Rb  0.1430  0.4222  0.2860  2 Au 3.88, 2 K 4.04-4.28, 2 Na 4.19
Na  0.7500  0.0000  0.0000  4 K 3.86, 4 Rb 4.19, 2 Na 4.29
K  0.8992  0.1897  0.7984  2 Au 3.38
K  0.6008  0.3912  0.2016  2 Au 3.38
Rb  0.8570  0.5778  0.7140  2 Au 3.88, 2 K 4.04-4.28, 2 Na 4.19

---

[9]
The following is a PBE-GGA calculation of K2RbNaAu after structural relaxation, from the Alexandria database.

Calculated values
- SG = No. 123
- formation energy (eV per formula unit) = 0.27
- VASP energy (eV per atom) = -1.50
- excess energy over the best structure of this formula in the dataset (eV per atom) = 0.162

abc: 6.8382 6.8382 5.5992
angles: 90.00 90.00 90.00
Last column: nearest neighbours and their distance in Å.
Positions (direct):
K  0.5000  0.0000  0.0000  2 Na 3.42
Au  0.0000  0.0000  0.5000  2 Na 2.80
K  0.0000  0.5000  0.0000  2 Na 3.42
Na  0.0000  0.0000  0.0000  2 Au 2.80
Rb  0.5000  0.5000  0.5000  8 K 4.42, 4 Au 4.84

---

[10]
The following is a PBE-GGA calculation of K5Rb2Na2Au after structural relaxation, from the Alexandria database.

Calculated values
- SG = No. 127
- formation energy (eV per formula unit) = -0.33
- VASP energy (eV per atom) = -1.37

abc: 4.4527 16.0890 16.0890
angles: 90.00 90.00 90.00
Last column: nearest neighbours and their distance in Å.
Positions (direct):
K  0.5000  0.0444  0.8327  2 Au 3.57, 2 K 3.94
Rb  0.0000  0.3241  0.8241  1 Na 4.10, 2 Rb 4.45, 2 K 4.58
Na  0.0000  0.8561  0.3561  6 K 3.96-4.09, 1 Rb 4.10
K  0.5000  0.1673  0.0444  2 Au 3.57, 2 K 3.94
Na  0.0000  0.6439  0.8561  6 K 3.96-4.09, 1 Rb 4.10
Na  0.0000  0.1439  0.6439  6 K 3.96-4.09, 1 Rb 4.10
K  0.5000  0.6673  0.4556  2 Au 3.57, 2 K 3.94
K  0.5000  0.0000  0.5000  4 Na 3.96
Rb  0.0000  0.8241  0.6759  1 Na 4.10, 2 Rb 4.45, 2 K 4.58
Na  0.0000  0.3561  0.1439  6 K 3.96-4.09, 1 Rb 4.10
K  0.5000  0.5444  0.6673  2 Au 3.57, 2 K 3.94
Au  0.0000  0.5000  0.5000  8 K 3.57
K  0.5000  0.5000  0.0000  4 Na 3.96
K  0.5000  0.8327  0.9556  2 Au 3.57, 2 K 3.94
K  0.5000  0.3327  0.5444  2 Au 3.57, 2 K 3.94
K  0.5000  0.4556  0.3327  2 Au 3.57, 2 K 3.94
Rb  0.0000  0.1759  0.3241  1 Na 4.10, 2 Rb 4.45, 2 K 4.58
Au  0.0000  0.0000  0.0000  8 K 3.57
K  0.5000  0.9556  0.1673  2 Au 3.57, 2 K 3.94
Rb  0.0000  0.6759  0.1759  1 Na 4.10, 2 Rb 4.45, 2 K 4.58

---

[11]
The following is a PBE-GGA calculation of K2RbNaAu after structural relaxation, from the Alexandria database.

Calculated values
- SG = No. 123
- formation energy (eV per formula unit) = -0.54
- VASP energy (eV per atom) = -1.66
- excess energy over the best structure of this formula in the dataset (eV per atom) = 0.000

abc: 6.6019 6.6019 5.9946
angles: 90.00 90.00 90.00
Last column: nearest neighbours and their distance in Å.
Positions (direct):
Na  0.0000  0.0000  0.5000  2 Au 3.00
Rb  0.5000  0.5000  0.5000  8 K 4.46, 4 Na 4.67
Au  0.0000  0.0000  0.0000  2 Na 3.00, 4 K 3.30
K  0.0000  0.5000  0.0000  2 Au 3.30
K  0.5000  0.0000  0.0000  2 Au 3.30

---

[12]
The following is a PBE-GGA calculation of KNaAuS2 after structural relaxation, from the Alexandria database.

Calculated values
- SG = No. 67
- VASP energy (eV per atom) = -3.43
- energy relative to the elements, uncorrected (meV/atom) = -638

abc: 5.5556 7.1052 7.8286
angles: 116.99 90.00 90.00
Last column: nearest neighbours and their distance in Å.
Positions (direct):
S  0.7358  0.8743  0.7486  1 Au 2.29
K  0.2383  0.7500  0.5000  4 S 3.26-3.29
S  0.7358  0.6257  0.2514  1 Au 2.29
S  0.2642  0.1257  0.2514  1 Au 2.29
Au  0.0000  0.5000  0.0000  2 S 2.29
S  0.2642  0.3743  0.7486  1 Au 2.29
K  0.7617  0.2500  0.5000  4 S 3.26-3.29
Au  0.0000  0.0000  0.0000  2 S 2.29
Na  0.5000  0.7500  0.0000  4 S 2.82
Na  0.5000  0.2500  0.0000  4 S 2.82

---

no.,M_tot (μB per formula unit)
1,0.0
2,0.0
3,0.0
4,0.0
5,0.0
6,0.0
7,0.0
8,0.0
9,0.0
10,0.0
11,0.0
12,0.7